Record 1
The following is a PBE calculation of Tb2HIr after structural relaxation, from Alexandria via LeMat-Bulk.

Calculated values
For the volume, the calculation gives 106.75 Å³/f.u. The offset from the most stable computed form is 220.9 meV per atom. Its symmetry is R-3m.

a b c (Å): 4.150 4.150 7.546
angles (deg): 74.04 74.04 60.00
Atoms (fractional coordinates):
H1 0.000 0.000 0.000
Ir1 0.500 0.500 0.500
Tb1 0.101 0.101 0.697
Tb2 0.899 0.899 0.303

Record 2
The following is a PBE calculation of Tb2H2Ir after structural relaxation, from Alexandria via LeMat-Bulk.

Calculated values
For the volume, the calculation gives 76.97 Å³/f.u. Its uncorrected energy is -5.563 eV per atom. Its symmetry is P4/mmm.

a b c (Å): 3.362 3.362 6.810
angles (deg): 90.00 90.00 90.00
Atoms (fractional coordinates):
Tb1 0.500 0.500 0.739
Tb2 0.500 0.500 0.261
H1 0.500 0.000 0.500
H2 0.000 0.500 0.500
Ir1 0.000 0.000 0.000

Record 3
The following is a PBE calculation of TbHIr3 after structural relaxation, from Alexandria via LeMat-Bulk.

Calculated values
For the volume, the calculation gives 69.19 Å³/f.u. Its uncorrected energy is -7.242 eV per atom. Its symmetry is Pm-3m.

a b c (Å): 4.105 4.105 4.105
angles (deg): 90.00 90.00 90.00
Atoms (fractional coordinates):
H1 0.000 0.000 0.000
Ir1 0.000 0.500 0.000
Ir2 0.000 0.000 0.500
Ir3 0.500 0.000 0.000
Tb1 0.500 0.500 0.500

Record 4
The following is a PBE calculation of TbH8Ir2 after structural relaxation, from Alexandria via LeMat-Bulk.

Calculated values
For the volume, the calculation gives 93.07 Å³/f.u. Its uncorrected energy is -4.568 eV per atom. Its symmetry is P4/mmm.

a b c (Å): 4.442 4.442 4.716
angles (deg): 90.00 90.00 90.00
Atoms (fractional coordinates):
Tb1 0.500 0.500 0.500
H1 0.780 0.780 0.196
H2 0.780 0.220 0.804
H3 0.780 0.780 0.804
H4 0.780 0.220 0.196
H5 0.220 0.780 0.196
H6 0.220 0.780 0.804
H7 0.220 0.220 0.196
H8 0.220 0.220 0.804
Ir1 0.500 0.000 0.000
Ir2 0.000 0.500 0.000

Record 5
The following is a PBE calculation of Tb12H5Ir3 after structural relaxation, from Alexandria via LeMat-Bulk.

Calculated values
For the volume, the calculation gives 433.99 Å³/f.u. Its uncorrected energy is -5.410 eV per atom. Its symmetry is Ia-3d.

a b c (Å): 13.114 13.114 13.114
angles (deg): 109.47 109.47 109.47
Atoms (fractional coordinates):
H1 0.125 0.375 0.250
H2 0.000 0.500 0.000
H3 0.000 0.000 0.000
H4 0.375 0.250 0.125
H5 0.500 0.000 0.500
H6 0.500 0.500 0.000
H7 0.125 0.750 0.375
H8 0.750 0.125 0.875
H9 0.750 0.625 0.375
H10 0.375 0.125 0.750
H11 0.625 0.875 0.250
H12 0.500 0.500 0.500
H13 0.500 0.000 0.000
H14 0.000 0.000 0.500
H15 0.250 0.375 0.625
H16 0.250 0.875 0.125
H17 0.000 0.500 0.500
H18 0.875 0.250 0.625
H19 0.625 0.750 0.875
H20 0.875 0.625 0.750
Ir1 0.750 0.375 0.125
Ir2 0.875 0.750 0.125
Ir3 0.375 0.750 0.625
Ir4 0.250 0.125 0.375
Ir5 0.875 0.125 0.250
Ir6 0.375 0.625 0.250
Ir7 0.625 0.375 0.750
Ir8 0.125 0.875 0.750
Ir9 0.750 0.875 0.625
Ir10 0.625 0.250 0.375
Ir11 0.125 0.250 0.875
Ir12 0.250 0.625 0.875
Tb1 0.717 0.122 0.028
Tb2 0.311 0.528 0.406
Tb3 0.972 0.378 0.283
Tb4 0.528 0.217 0.122
Tb5 0.595 0.717 0.689
Tb6 0.972 0.594 0.189
Tb7 0.311 0.783 0.405
Tb8 0.094 0.905 0.122
Tb9 0.594 0.972 0.689
Tb10 0.717 0.595 0.189
Tb11 0.783 0.472 0.378
Tb12 0.811 0.906 0.028
Tb13 0.122 0.717 0.528
Tb14 0.378 0.406 0.095
Tb15 0.095 0.906 0.378
Tb16 0.405 0.122 0.594
Tb17 0.095 0.189 0.217
Tb18 0.472 0.689 0.094
Tb19 0.811 0.905 0.283
Tb20 0.122 0.405 0.094
Tb21 0.378 0.972 0.783
Tb22 0.594 0.622 0.405
Tb23 0.906 0.811 0.528
Tb24 0.783 0.311 0.905
Tb25 0.406 0.378 0.595
Tb26 0.094 0.189 0.472
Tb27 0.217 0.689 0.095
Tb28 0.189 0.095 0.717
Tb29 0.622 0.028 0.217
Tb30 0.878 0.595 0.906
Tb31 0.528 0.311 0.906
Tb32 0.595 0.878 0.406
Tb33 0.905 0.811 0.783
Tb34 0.905 0.094 0.622
Tb35 0.878 0.283 0.472
Tb36 0.189 0.094 0.972
Tb37 0.622 0.594 0.905
Tb38 0.406 0.028 0.311
Tb39 0.283 0.405 0.811
Tb40 0.217 0.528 0.622
Tb41 0.906 0.095 0.878
Tb42 0.689 0.217 0.595
Tb43 0.472 0.783 0.878
Tb44 0.028 0.406 0.811
Tb45 0.405 0.283 0.311
Tb46 0.028 0.622 0.717
Tb47 0.689 0.472 0.594
Tb48 0.283 0.878 0.972

Record 6
The following is a PBE calculation of TbHIr after structural relaxation, from Alexandria via LeMat-Bulk.

Calculated values
For the volume, the calculation gives 46.92 Å³/f.u. The offset from the most stable computed form is 0.0 meV per atom. Its symmetry is P-6m2.

a b c (Å): 3.529 3.918 3.918
angles (deg): 120.00 90.00 90.00
Atoms (fractional coordinates):
H1 0.166 0.667 0.333
Ir1 0.167 0.000 0.000
Tb1 0.667 0.333 0.667

Q: Among the records above, which one has the highest volume?
A: Tb12H5Ir3

Q: Which value of volume does entry 1 give?
A: 106.75 Å³/f.u.

What did the fifth record say?
The following is a PBE calculation of Tb12H5Ir3 after structural relaxation, from Alexandria via LeMat-Bulk.

Calculated values
For the volume, the calculation gives 433.99 Å³/f.u. Its uncorrected energy is -5.410 eV per atom. Its symmetry is Ia-3d.

a b c (Å): 13.114 13.114 13.114
angles (deg): 109.47 109.47 109.47
Atoms (fractional coordinates):
H1 0.125 0.375 0.250
H2 0.000 0.500 0.000
H3 0.000 0.000 0.000
H4 0.375 0.250 0.125
H5 0.500 0.000 0.500
H6 0.500 0.500 0.000
H7 0.125 0.750 0.375
H8 0.750 0.125 0.875
H9 0.750 0.625 0.375
H10 0.375 0.125 0.750
H11 0.625 0.875 0.250
H12 0.500 0.500 0.500
H13 0.500 0.000 0.000
H14 0.000 0.000 0.500
H15 0.250 0.375 0.625
H16 0.250 0.875 0.125
H17 0.000 0.500 0.500
H18 0.875 0.250 0.625
H19 0.625 0.750 0.875
H20 0.875 0.625 0.750
Ir1 0.750 0.375 0.125
Ir2 0.875 0.750 0.125
Ir3 0.375 0.750 0.625
Ir4 0.250 0.125 0.375
Ir5 0.875 0.125 0.250
Ir6 0.375 0.625 0.250
Ir7 0.625 0.375 0.750
Ir8 0.125 0.875 0.750
Ir9 0.750 0.875 0.625
Ir10 0.625 0.250 0.375
Ir11 0.125 0.250 0.875
Ir12 0.250 0.625 0.875
Tb1 0.717 0.122 0.028
Tb2 0.311 0.528 0.406
Tb3 0.972 0.378 0.283
Tb4 0.528 0.217 0.122
Tb5 0.595 0.717 0.689
Tb6 0.972 0.594 0.189
Tb7 0.311 0.783 0.405
Tb8 0.094 0.905 0.122
Tb9 0.594 0.972 0.689
Tb10 0.717 0.595 0.189
Tb11 0.783 0.472 0.378
Tb12 0.811 0.906 0.028
Tb13 0.122 0.717 0.528
Tb14 0.378 0.406 0.095
Tb15 0.095 0.906 0.378
Tb16 0.405 0.122 0.594
Tb17 0.095 0.189 0.217
Tb18 0.472 0.689 0.094
Tb19 0.811 0.905 0.283
Tb20 0.122 0.405 0.094
Tb21 0.378 0.972 0.783
Tb22 0.594 0.622 0.405
Tb23 0.906 0.811 0.528
Tb24 0.783 0.311 0.905
Tb25 0.406 0.378 0.595
Tb26 0.094 0.189 0.472
Tb27 0.217 0.689 0.095
Tb28 0.189 0.095 0.717
Tb29 0.622 0.028 0.217
Tb30 0.878 0.595 0.906
Tb31 0.528 0.311 0.906
Tb32 0.595 0.878 0.406
Tb33 0.905 0.811 0.783
Tb34 0.905 0.094 0.622
Tb35 0.878 0.283 0.472
Tb36 0.189 0.094 0.972
Tb37 0.622 0.594 0.905
Tb38 0.406 0.028 0.311
Tb39 0.283 0.405 0.811
Tb40 0.217 0.528 0.622
Tb41 0.906 0.095 0.878
Tb42 0.689 0.217 0.595
Tb43 0.472 0.783 0.878
Tb44 0.028 0.406 0.811
Tb45 0.405 0.283 0.311
Tb46 0.028 0.622 0.717
Tb47 0.689 0.472 0.594
Tb48 0.283 0.878 0.972